Ba2SmZnTe5 after structural relaxation, computed with PBE.

Values from the calculation:
spin magnetization = 0.0000 μB/atom
total DFT energy (no corrections) = -4.084 eV/atom

Cell lengths 4.576, 20.300, 14.110 Å; angles 90.00, 90.00, 90.00 degrees
Space group Cmc2_1 (No. 36)
Symmetry-distinct sites (fractional):
Ba 0.000 0.119 0.000 (multiplicity 4)
Ba 0.000 0.123 0.636 (multiplicity 4)
Sm 0.000 0.201 0.327 (multiplicity 4)
Zn 0.000 0.437 0.740 (multiplicity 4)
Te 0.000 0.044 0.341 (multiplicity 4)
Te 0.000 0.300 0.978 (multiplicity 4)
Te 0.000 0.308 0.672 (multiplicity 4)
Te 0.000 0.353 0.320 (multiplicity 4)
Te 0.000 0.499 0.077 (multiplicity 4)